Mn3Cr meta-GGA SCAN single point on PBEsol structure; energy of formation = 2 kJ/mol of atoms; symmetry = Fm-3m; volume = 42.8 Å³ per cell
1.0
0.0000 2.7752 2.7752
2.7752 0.0000 2.7752
2.7752 2.7752 0.0000
Mn Cr
3 1
Cartesian
0.0000 0.0000 0.0000 Mn
1.3876 1.3876 1.3876 Mn
4.1629 4.1629 4.1629 Mn
2.7752 2.7752 2.7752 Cr